First-principles (PBE) data for a relaxed K3Ac3ZrS8 crystal, as listed in Alexandria.

Values from the calculation:
M_tot: 0.00 μB per formula unit
uncorrected formation energy: -1812 meV/atom
calculated total energy: -0.20670 Ha/atom
DOS at the Fermi energy: 0.000 states/eV/f.u.
symmetry: No. 166

```
K3Ac3ZrS8
1.0
8.578 0.001 0.000
-4.288 7.430 -0.027
-0.001 -4.928 7.504
K Ac Zr S
3 3 1 8
Direct
0.000 0.000 0.000
0.000 0.500 0.000
0.500 0.500 0.000
0.500 0.000 0.500
0.500 0.500 0.500
0.000 0.500 0.500
0.000 0.000 0.500
0.261 0.522 0.283
0.739 0.478 0.717
0.787 0.574 0.306
0.213 0.426 0.694
0.787 0.018 0.305
0.213 0.982 0.695
0.231 0.018 0.305
0.769 0.982 0.695
```